The following is a DFT calculation (PBE) of a relaxed BePRuRh crystal.

Properties
Fermi-level density of states in states/eV per cell: 4.6
Magnetic moment in μB/atom: 0.000
Final energy in eV/cell: -111.118
ΔH_f (0 K) in eV per atom: -0.504

Cell lengths 5.713, 5.713, 5.713 Å; angles 90.00, 90.00, 90.00 degrees
Fractional coordinates of all 16 atoms:
Be1 0.000 0.000 0.000
Be2 0.000 0.500 0.500
Be3 0.500 0.000 0.500
Be4 0.500 0.500 0.000
P1 0.000 0.000 0.500
P2 0.000 0.500 0.000
P3 0.500 0.000 0.000
P4 0.500 0.500 0.500
Ru1 0.250 0.250 0.750
Ru2 0.250 0.750 0.250
Ru3 0.750 0.250 0.250
Ru4 0.750 0.750 0.750
Rh1 0.250 0.250 0.250
Rh2 0.250 0.750 0.750
Rh3 0.750 0.250 0.750
Rh4 0.750 0.750 0.250